Nd8Ir3OsI4: optimized geometry, PBE.

Summary:
The value obtained for the total energy is -5.986 eV/atom.

abc: 14.5781 8.4194 9.4651
angles: 90.00 120.84 90.00
Space group C2/m (No. 12)
Symmetry-distinct sites (fractional):
1 Nd 0.0207 0.2467 0.3152 [8 per cell]
2 Nd 0.2261 0.0000 0.6848 [4 per cell]
3 Nd 0.2274 0.5000 0.6826 [4 per cell]
4 Ir 0.0000 0.5000 0.5000 [2 per cell]
5 Ir 0.2500 0.2500 0.5000 [4 per cell]
6 Os 0.0000 0.0000 0.5000 [2 per cell]
7 I 0.0000 0.0000 0.0000 [2 per cell]
8 I 0.0000 0.5000 0.0000 [2 per cell]
9 I 0.2500 0.2500 0.0000 [4 per cell]

Ho2Ti2AlCo5: optimized geometry, PBE.

Summary:
As for the formation energy: -0.1377 eV/atom.

abc: 9.9405 9.9405 3.0795
angles: 90.00 90.00 90.00
Space group P4/mbm (No. 127)
Symmetry-distinct sites (fractional):
1 Ho 0.1749 0.3251 0.0000 [4 per cell]
2 Ti 0.1297 0.6297 0.0000 [4 per cell]
3 Al 0.0000 0.0000 0.0000 [2 per cell]
4 Co 0.0000 0.5000 0.5000 [2 per cell]
5 Co 0.0513 0.8042 0.5000 [8 per cell]